No. 1
## Tb2GdCu4Ge4 (GGA-PBE)

Data for crystalline Tb2GdCu4Ge4 at its relaxed geometry.

The structure in POSCAR format:
```
Tb2GdCu4Ge4
1.0
-2.113 3.343 7.011
2.113 -3.343 7.011
2.113 3.343 -7.011
Ge Cu Tb Gd
4 4 2 1
direct
0.216 0.216 0.000 Ge
0.310 0.500 0.810 Ge
0.784 0.784 0.000 Ge
0.690 0.500 0.190 Ge
0.359 0.669 0.690 Cu
0.979 0.669 0.310 Cu
0.641 0.331 0.310 Cu
0.021 0.331 0.690 Cu
0.631 0.131 0.500 Tb
0.369 0.869 0.500 Tb
0.000 0.000 0.000 Gd
```

Output
Total DFT energy (no corrections) ... -54.29 eV/cell

***

No. 2
## GdYCu2Ge2 (GGA-PBE)

Data for crystalline GdYCu2Ge2 at its relaxed geometry.

The structure in POSCAR format:
```
GdYCu2Ge2
1.0
4.248 0.000 0.000
-2.124 3.679 0.000
0.000 0.000 7.408
Cu Gd Ge Y
2 1 2 1
direct
0.667 0.333 0.479 Cu
0.333 0.667 0.979 Cu
0.000 0.000 0.748 Gd
0.333 0.667 0.513 Ge
0.667 0.333 0.013 Ge
0.000 0.000 0.248 Y
```

Output
Total DFT energy (no corrections) ... -31.95 eV/cell

***

No. 3
## GdCu2H4 (GGA-PBE)

Data for crystalline GdCu2H4 at its relaxed geometry.

The structure in POSCAR format:
```
GdCu2H4
1.0
3.919 -4.155 0.000
3.919 4.155 0.000
-3.914 0.000 3.929
Cu Gd H
4 2 8
direct
0.000 0.000 0.000 Cu
0.000 0.000 0.500 Cu
0.500 0.000 0.000 Cu
0.000 0.500 0.500 Cu
0.625 0.375 0.750 Gd
0.375 0.625 0.250 Gd
0.990 0.334 0.707 H
0.215 0.371 0.382 H
0.334 0.990 0.207 H
0.371 0.215 0.882 H
0.629 0.785 0.118 H
0.666 0.010 0.793 H
0.010 0.666 0.293 H
0.785 0.629 0.618 H
```

Output
Total DFT energy (no corrections) ... -53.20 eV/cell

***

No. 4
## GdHfCu6 (GGA-PBE)

Data for crystalline GdHfCu6 at its relaxed geometry.

The structure in POSCAR format:
```
GdHfCu6
1.0
-2.910 1.845 -2.860
-2.750 -5.077 -0.479
-2.796 1.175 3.603
Cu Gd Hf
6 1 1
direct
0.500 0.725 0.354 Cu
0.000 0.280 0.662 Cu
0.000 0.500 0.185 Cu
0.000 0.720 0.662 Cu
0.500 0.000 0.770 Cu
0.500 0.275 0.354 Cu
0.000 0.000 0.160 Gd
0.500 0.500 0.853 Hf
```

Output
Energy relative to the elements ... -135 meV per atom

***

No. 5
## GdCuHg (GGA-PBE)

Data for crystalline GdCuHg at its relaxed geometry.

The structure in POSCAR format:
```
GdCuHg
1.0
0.000 3.402 3.402
3.402 0.000 3.402
3.402 3.402 0.000
Gd Hg Cu
1 1 1
direct
0.000 0.000 0.000 Gd
0.750 0.750 0.750 Hg
0.250 0.250 0.250 Cu
```

Output
Energy relative to the elements ... 141 meV per atom

***

No. 6
## GdCuHg (GGA-PBE)

Data for crystalline GdCuHg at its relaxed geometry.

The structure in POSCAR format:
```
GdCuHg
1.0
0.000 3.269 3.269
3.269 0.000 3.269
3.269 3.269 0.000
Gd Cu Hg
1 1 1
direct
0.250 0.250 0.250 Gd
0.000 0.000 0.000 Cu
0.750 0.750 0.750 Hg
```

Output
Energy relative to the elements ... -210 meV per atom

***

No. 7
## GdHoInCu2 (GGA-PBE)

Data for crystalline GdHoInCu2 at its relaxed geometry.

The structure in POSCAR format:
```
GdHoInCu2
1.0
-0.441 2.114 -2.881
-6.243 -3.477 -1.595
-7.255 -0.198 0.966
Cu Ho In Gd
2 1 1 1
direct
0.500 0.200 0.200 Cu
0.500 0.798 0.798 Cu
0.000 0.634 0.634 Ho
0.500 0.001 0.001 In
0.000 0.367 0.367 Gd
```

Output
Total DFT energy (no corrections) ... -21.30 eV/cell

***

No. 8
## GdHo2In3Cu3 (GGA-PBE)

Data for crystalline GdHo2In3Cu3 at its relaxed geometry.

The structure in POSCAR format:
```
GdHo2In3Cu3
1.0
3.867 0.000 0.000
0.000 6.522 3.760
0.000 -6.522 3.760
Cu Gd In Ho
3 1 3 2
direct
0.500 0.332 0.668 Cu
0.000 0.999 0.999 Cu
0.500 0.668 0.332 Cu
0.000 0.410 0.410 Gd
0.500 0.256 0.999 In
0.500 0.745 0.745 In
0.500 0.999 0.256 In
0.000 0.000 0.590 Ho
0.000 0.590 0.000 Ho
```

Output
Total DFT energy (no corrections) ... -36.92 eV/cell

***

No. 9
## GdHo2In3CuNi2 (GGA-PBE)

Data for crystalline GdHo2In3CuNi2 at its relaxed geometry.

The structure in POSCAR format:
```
GdHo2In3CuNi2
1.0
-2.369 2.671 -1.400
-3.572 0.257 6.532
5.806 4.498 -1.241
Ni Cu Ho In Gd
2 1 2 3 1
direct
0.500 0.332 0.667 Ni
0.500 0.667 0.332 Ni
0.000 0.001 0.001 Cu
0.000 0.412 0.000 Ho
0.000 0.000 0.412 Ho
0.500 0.256 0.256 In
0.500 0.743 0.001 In
0.500 0.001 0.743 In
0.000 0.587 0.587 Gd
```

Output
Total DFT energy (no corrections) ... -41.20 eV/cell

***

No. 10
## Gd2HoIn3CuPd2 (GGA-PBE)

Data for crystalline Gd2HoIn3CuPd2 at its relaxed geometry.

The structure in POSCAR format:
```
Gd2HoIn3CuPd2
1.0
-1.588 -1.313 -3.276
-4.394 -4.809 4.056
-2.531 7.065 -1.604
Gd Pd Cu In Ho
2 2 1 3 1
direct
0.000 0.410 0.000 Gd
0.000 0.000 0.410 Gd
0.500 0.335 0.666 Pd
0.500 0.666 0.335 Pd
0.000 0.999 0.999 Cu
0.500 0.748 0.999 In
0.500 0.252 0.252 In
0.500 0.999 0.748 In
0.000 0.590 0.590 Ho
```

Output
Total DFT energy (no corrections) ... -42.48 eV/cell

***

No. 11
## Gd2HoIn3CuPt2 (GGA-PBE)

Data for crystalline Gd2HoIn3CuPt2 at its relaxed geometry.

The structure in POSCAR format:
```
Gd2HoIn3CuPt2
1.0
-1.836 1.941 2.745
-2.549 -6.618 2.974
6.688 2.949 2.389
In Gd Pt Ho Cu
3 2 2 1 1
direct
0.500 0.252 0.252 In
0.500 0.748 0.999 In
0.500 0.999 0.748 In
0.000 0.000 0.412 Gd
0.000 0.412 0.000 Gd
0.500 0.666 0.336 Pt
0.500 0.336 0.666 Pt
0.000 0.588 0.588 Ho
0.000 0.999 0.999 Cu
```

Output
Total DFT energy (no corrections) ... -45.45 eV/cell

***

No. 12
## Gd2HoCuSn3Ir2 (GGA-PBE)

Data for crystalline Gd2HoCuSn3Ir2 at its relaxed geometry.

The structure in POSCAR format:
```
Gd2HoCuSn3Ir2
1.0
3.940 0.000 0.000
0.000 6.491 3.763
0.000 -6.491 3.763
Sn Ir Gd Ho Cu
3 2 2 1 1
direct
0.500 0.741 0.999 Sn
0.500 0.259 0.259 Sn
0.500 0.999 0.741 Sn
0.500 0.336 0.666 Ir
0.500 0.666 0.336 Ir
0.000 0.000 0.407 Gd
0.000 0.407 0.000 Gd
0.000 0.593 0.593 Ho
0.000 0.999 0.999 Cu
```

Output
Total DFT energy (no corrections) ... -53.85 eV/cell

***

Number 1: total moment 0.0 μB/cell. Number 2: total moment 0.0 μB/cell. Number 3: total moment 0.0 μB/cell. Number 4: total moment 0.0 μB/cell. Number 5: total moment 0.0 μB/cell. Number 6: total moment 0.3 μB/cell. Number 7: total moment 0.0 μB/cell. Number 8: total moment 0.0 μB/cell. Number 9: total moment 0.0 μB/cell. Number 10: total moment 0.0 μB/cell. Number 11: total moment 0.0 μB/cell. Number 12: total moment 0.0 μB/cell.